Entry 1:
This record from Alexandria via LeMat-Bulk describes a geometry-optimized TlIN2F structure. The functional is PBE.

POSCAR file:
```
TlIN2F
1.0
4.643 0.000 0.000
0.000 4.643 0.000
0.000 0.000 4.472
N F Tl I
2 1 1 1
Direct
0.500 0.000 0.000
0.000 0.500 0.000
0.000 0.000 0.500
0.000 0.000 0.000
0.500 0.500 0.500
```

Properties
Raw formation energy (meV per atom): 1252
Density of states at the Fermi level (states/eV/atom): 0.75
Total moment (μB per formula unit): 3.48
Symmetry: P4/mmm (123)

Entry 2:
This record from Alexandria via LeMat-Bulk describes a geometry-optimized CaPuPb structure. The functional is PBE.

POSCAR file:
```
CaPuPb
1.0
-3.457 -1.323 -3.519
5.346 -5.127 -3.324
-4.986 -2.575 5.867
Pu Pb Ca
3 3 3
Direct
0.500 0.000 0.766
0.500 0.766 0.000
0.500 0.234 0.234
0.000 0.000 0.000
0.500 0.333 0.667
0.500 0.667 0.333
0.000 0.429 0.000
0.000 0.000 0.429
0.000 0.571 0.571
```

Properties
Formation energy (meV per atom): -188.3
Density of states at the Fermi level (states/eV/atom): 3.61
Total moment (μB per formula unit): 5.98
Symmetry: P-62m (189)

Entry 3:
This record from Alexandria via LeMat-Bulk describes a geometry-optimized Ce2Nd3NpAs6 structure. The functional is PBE.

POSCAR file:
```
Ce2Nd3NpAs6
1.0
4.221 0.000 0.000
0.000 8.458 0.284
-2.110 -2.453 8.887
Ce Nd As Np
2 3 6 1
Direct
0.834 0.668 0.669
0.166 0.332 0.331
0.833 0.167 0.665
0.500 0.500 0.000
0.167 0.833 0.335
0.664 0.085 0.327
0.668 0.579 0.337
0.999 0.759 0.999
0.332 0.421 0.663
0.336 0.915 0.673
0.001 0.241 0.001
0.500 0.000 0.000
```

Properties
Formation energy (meV per atom): -1344.2
Density of states at the Fermi level (states/eV/atom): 1.79
Total moment (μB per formula unit): 5.17
Symmetry: C2/m (12)

Entry 4:
This record from Alexandria via LeMat-Bulk describes a geometry-optimized Cs2TiTe structure. The functional is PBE.

POSCAR file:
```
Cs2TiTe
1.0
0.000 4.541 4.541
4.541 0.000 4.541
4.541 4.541 0.000
Cs Te Ti
2 1 1
Direct
0.250 0.250 0.250
0.750 0.750 0.750
0.500 0.500 0.500
0.000 0.000 0.000
```

Properties
Raw formation energy (meV per atom): 377
Density of states at the Fermi level (states/eV/atom): 1.77
Total moment (μB per formula unit): 3.93
Symmetry: Fm-3m (225)

Entry 5:
This record from Alexandria via LeMat-Bulk describes a geometry-optimized NdTlBr4 structure. The functional is PBE.

POSCAR file:
```
NdTlBr4
1.0
7.363 -0.044 0.000
-1.928 8.353 0.000
-2.717 -4.155 7.080
Br Tl Nd
8 2 2
Direct
0.369 0.664 0.877
0.631 0.336 0.123
0.626 0.057 0.321
0.805 0.736 0.679
0.374 0.943 0.679
0.195 0.264 0.321
0.008 0.212 0.877
0.992 0.788 0.123
0.616 0.366 0.732
0.384 0.634 0.268
0.753 0.003 0.007
0.247 0.997 0.993
```

Properties
Raw formation energy (meV per atom): -1488
Density of states at the Fermi level (states/eV/atom): 0.00
Total moment (μB per formula unit): 0.00
Symmetry: C2/c (15)

Entry 6:
This record from Alexandria via LeMat-Bulk describes a geometry-optimized Hf6AlSb2 structure. The functional is PBE.

POSCAR file:
```
Hf6AlSb2
1.0
5.563 0.000 0.281
0.000 7.716 0.000
-0.372 0.000 9.207
Hf Al Sb
12 2 4
Direct
0.623 0.163 0.961
0.626 0.464 0.288
0.374 0.536 0.712
0.598 0.198 0.551
0.877 0.663 0.539
0.402 0.802 0.449
0.377 0.837 0.039
0.123 0.337 0.461
0.874 0.964 0.212
0.126 0.036 0.788
0.098 0.302 0.051
0.902 0.698 0.949
0.500 0.500 0.000
0.000 0.000 0.500
0.613 0.891 0.740
0.387 0.109 0.260
0.113 0.609 0.240
0.887 0.391 0.760
```

Properties
Raw formation energy (meV per atom): -252
Density of states at the Fermi level (states/eV/atom): 0.50
Total moment (μB per formula unit): 0.00
Symmetry: P2_1/c (14)